Density functional theory data (PBE) for CeHRh after structural relaxation.

Unit cell a=3.849 b=3.849 c=4.487 alpha=115.40 beta=115.40 gamma=90.00
Sites, in units of the cell vectors:
H 0.254 0.254 0.507
Ce 0.572 0.572 0.145
Rh 0.024 0.024 0.048

Computed properties:
The value obtained for the relative energy among the computed polymorphs is 225.9 meV/atom.